DFT (PBEsol) results for a relaxed structure of CaOsW2.

Computed properties:
N(E_F) = 4.4 states/eV/f.u.
Formation enthalpy at 0 K = 2.25 eV per formula unit
ρ = 14.6 g/cm³
Symmetry = Cmm2
Volume = 16.95 Å³ per atom

Cell lengths 3.1917, 4.5341, 9.3711 Å; angles 90.00, 90.00, 90.00 degrees
With the nearest neighbours (Å) after each atom.
Atoms (fractional coordinates):
Ca 0.0000 0.0000 0.0000  4 Ca 2.77, 2 Os 2.92
Ca 0.5000 0.5000 0.0000  4 Ca 2.77, 2 Os 2.92
Os 0.0000 0.5000 0.7388  2 W 2.63, 4 Os 2.77, 2 Ca 2.92
Os 0.5000 0.0000 0.7388  2 W 2.63, 4 Os 2.77, 2 Ca 2.92
W 0.0000 0.0000 0.5161  2 Os 2.63, 6 W 2.68-2.77
W 0.0000 0.5000 0.2861  6 W 2.68-2.77
W 0.5000 0.0000 0.2861  6 W 2.68-2.77
W 0.5000 0.5000 0.5161  2 Os 2.63, 6 W 2.68-2.77